1.
# InCoAs | the Alexandria database | PBEsol | relaxed
# DFT total energy ... -5.200 eV per atom
# E_form ... 75 meV per atom
data_InCoAs
_symmetry_space_group_name_H-M 'P -6 m 2'
_symmetry_Int_Tables_number 187
_symmetry_space_group_name_Hall 'P -6 2'
_cell_length_a 3.9197
_cell_length_b 3.9197
_cell_length_c 3.8437
_cell_angle_alpha 90.00
_cell_angle_beta 90.00
_cell_angle_gamma 120.00
loop_
_atom_site_label
_atom_site_fract_x
_atom_site_fract_y
_atom_site_fract_z
In1 0.0000 0.0000 0.0000
Co1 0.6667 0.3333 0.5000
As1 0.3333 0.6667 0.5000

***

2.
# InCoAs | the Alexandria database | PBEsol | relaxed
# DFT total energy ... -4.794 eV per atom
# E_form ... 482 meV per atom
data_InCoAs
_symmetry_space_group_name_H-M 'F -4 3 m'
_symmetry_Int_Tables_number 216
_symmetry_space_group_name_Hall 'F -4 2 3'
_cell_length_a 6.030
_cell_length_b 6.030
_cell_length_c 6.030
_cell_angle_alpha 90.00
_cell_angle_beta 90.00
_cell_angle_gamma 90.00
loop_
_atom_site_label
_atom_site_fract_x
_atom_site_fract_y
_atom_site_fract_z
In1 0.000 0.000 0.000
Co1 0.000 0.000 0.500
As1 0.250 0.250 0.750